# 1
SrAl2In GGA-PBE relaxed; relative energy among the computed polymorphs = 229 meV/atom; E_tot = -23.49 eV for the cell shown; calculated formation energy = 0.04 eV per atom
1.0
-2.545 2.545 9.688
2.545 -2.545 9.688
2.545 2.545 -9.688
Sr Al In
2 4 2
direct
0.000 0.000 0.000
0.750 0.250 0.500
0.338 0.625 0.213
0.375 0.588 0.713
0.412 0.125 0.787
0.875 0.662 0.287
0.250 0.750 0.500
0.500 0.500 0.000



# 2
Sr11Al4In3 GGA-PBE relaxed; E_tot = -93.03 eV for the cell shown; calculated formation energy = -0.27 eV per atom
1.0
0.000 8.770 8.770
8.770 0.000 8.770
8.770 8.770 0.000
Sr Al In
22 8 6
direct
0.000 0.000 0.000
0.000 0.000 0.337
0.000 0.000 0.663
0.000 0.337 0.000
0.000 0.337 0.663
0.000 0.663 0.000
0.000 0.663 0.337
0.106 0.631 0.631
0.337 0.000 0.000
0.337 0.000 0.663
0.337 0.663 0.000
0.369 0.369 0.369
0.369 0.369 0.894
0.369 0.894 0.369
0.500 0.500 0.500
0.631 0.106 0.631
0.631 0.631 0.106
0.631 0.631 0.631
0.663 0.000 0.000
0.663 0.000 0.337
0.663 0.337 0.000
0.894 0.369 0.369
0.195 0.195 0.195
0.195 0.195 0.416
0.195 0.416 0.195
0.416 0.195 0.195
0.584 0.805 0.805
0.805 0.584 0.805
0.805 0.805 0.584
0.805 0.805 0.805
0.280 0.280 0.720
0.280 0.720 0.280
0.280 0.720 0.720
0.720 0.280 0.280
0.720 0.280 0.720
0.720 0.720 0.280



# 3
SrAlIn GGA-PBE relaxed; E_tot = -7.12 eV for the cell shown; calculated formation energy = 0.35 eV per atom
1.0
0.000 3.741 3.741
3.741 0.000 3.741
3.741 3.741 0.000
Sr Al In
1 1 1
direct
0.000 0.000 0.000
0.750 0.750 0.750
0.250 0.250 0.250



# 4
SrAlIn2 GGA-PBE relaxed; E_tot = -11.66 eV for the cell shown; calculated formation energy = -0.19 eV per atom
1.0
4.131 -2.380 0.000
4.131 2.380 0.000
-2.753 0.000 6.008
Sr Al In
1 1 2
direct
0.000 0.000 0.000
0.799 0.799 0.399
0.215 0.215 0.646
0.447 0.447 0.342



# 5
Sr2Al3In GGA-PBE relaxed; E_tot = -19.15 eV for the cell shown; calculated formation energy = -0.30 eV per atom
1.0
5.705 -2.432 0.000
5.705 2.432 0.000
-5.532 0.000 5.717
Sr Al In
2 3 1
direct
0.000 0.000 0.000
0.095 0.095 0.595
0.377 0.377 0.553
0.395 0.395 0.210
0.708 0.708 0.401
0.708 0.708 0.018



# 6
SrAl2In GGA-PBE relaxed; relative energy among the computed polymorphs = 133 meV/atom; E_tot = -12.13 eV for the cell shown; calculated formation energy = -0.06 eV per atom
1.0
3.275 -3.278 0.000
3.275 3.278 0.000
-0.013 0.000 4.561
Sr Al In
1 2 1
direct
0.000 0.000 0.000
0.000 0.500 0.500
0.500 0.000 0.500
0.500 0.500 0.000



# 7
SrAl2In GGA-PBE relaxed; relative energy among the computed polymorphs = 77 meV/atom; E_tot = -12.35 eV for the cell shown; calculated formation energy = -0.11 eV per atom
1.0
3.595 0.000 0.000
0.000 3.775 0.000
0.000 0.000 7.399
Sr Al In
1 2 1
direct
0.000 0.000 0.000
0.000 0.000 0.463
0.500 0.500 0.302
0.500 0.500 0.683



# 8
SrAlIn2 GGA-PBE relaxed; E_tot = -11.40 eV for the cell shown; calculated formation energy = -0.13 eV per atom
1.0
-2.262 2.372 5.329
2.262 -2.372 5.329
2.262 2.372 -5.329
Sr Al In
1 1 2
direct
0.000 0.000 0.000
0.245 0.745 0.500
0.419 0.419 0.000
0.728 0.228 0.500



Computed DOS at the Fermi energy, in the same sequence as the records: 0.3835 0.9035 0.7487 0.4676 0.2412 0.5802 0.4815 0.6491 states/eV/atom.